1.
! TiGeHRh2 (PBE, optimized geometry); values from VASP
&SYSTEM
  ibrav = 0, nat = 5, ntyp = 4
/
ATOMIC_SPECIES
Rh 102.91 Rh.upf
Ti 47.87 Ti.upf
H 1.01 H.upf
Ge 72.64 Ge.upf
ATOMIC_POSITIONS angstrom
Rh 1.969 0.000 0.000
Rh 0.000 1.969 0.000
Ti 0.000 0.000 1.969
H 0.000 0.000 0.000
Ge 1.969 1.969 1.969
CELL_PARAMETERS angstrom
3.939 0.000 0.000
0.000 3.939 0.000
0.000 0.000 3.938
! SG: No. 123
! Total DFT energy (no corrections), eV/f.u.: -32.94
! Density, g/cm³: 8.9

---

2.
! CePr2NdP4 (PBE, optimized geometry); values from VASP
&SYSTEM
  ibrav = 0, nat = 8, ntyp = 4
/
ATOMIC_SPECIES
Nd 144.24 Nd.upf
P 30.97 P.upf
Pr 140.91 Pr.upf
Ce 140.12 Ce.upf
ATOMIC_POSITIONS angstrom
Nd 0.000 0.000 0.000
P 2.082 3.484 5.205
P 0.000 4.751 1.733
P 2.082 1.208 1.683
P 0.000 -0.059 5.155
Pr 2.082 -1.258 3.379
Pr 0.000 2.346 3.444
Ce 2.082 3.604 0.065
CELL_PARAMETERS angstrom
4.164 0.000 0.000
0.000 7.207 0.130
0.000 -2.516 6.758
! Energy of formation, eV per formula unit: -12.20
! SG: No. 10
! Total DFT energy (no corrections), eV/f.u.: -54.10
! Density, g/cm³: 5.6

---

3.
! Hf2Si2W (PBE, optimized geometry); values from VASP
&SYSTEM
  ibrav = 0, nat = 5, ntyp = 3
/
ATOMIC_SPECIES
Si 28.09 Si.upf
Hf 178.49 Hf.upf
W 183.84 W.upf
ATOMIC_POSITIONS angstrom
Si 3.754 2.519 3.373
Si 3.754 3.924 1.524
Hf 5.631 4.618 3.510
Hf 1.877 1.826 1.387
W 0.000 0.000 0.000
CELL_PARAMETERS angstrom
3.754 0.000 0.000
1.877 4.924 0.208
1.877 1.519 4.689
! Formation energy (no corrections), eV/atom: -0.593
! SG: No. 71
! Total DFT energy (no corrections), eV/f.u.: -46.67
! Density, g/cm³: 11.6

---

4.
! Th2ZnCo3Ni12 (PBE, optimized geometry); values from VASP
&SYSTEM
  ibrav = 0, nat = 18, ntyp = 4
/
ATOMIC_SPECIES
Ni 58.69 Ni.upf
Th 232.04 Th.upf
Zn 65.41 Zn.upf
Co 58.93 Co.upf
ATOMIC_POSITIONS angstrom
Ni 6.757 1.860 1.319
Ni 4.895 2.849 -0.176
Ni 6.888 1.489 3.727
Ni 4.895 0.776 2.747
Ni 5.153 0.479 0.339
Ni 2.961 1.723 3.893
Ni 4.696 5.254 3.727
Ni 6.888 4.010 0.173
Ni 2.961 4.244 0.339
Ni 4.954 4.957 1.319
Ni 4.954 2.884 4.242
Ni 3.092 3.873 2.747
Th 7.204 4.193 2.974
Th 2.645 1.540 1.092
Zn 0.000 0.000 0.000
Co 0.945 2.953 -0.451
Co 3.034 -0.636 -0.451
Co 0.945 0.550 2.936
CELL_PARAMETERS angstrom
6.069 -1.273 -0.903
1.890 5.906 -0.903
1.890 1.100 5.872
! Energy of formation, eV per formula unit: -0.11
! SG: No. 166
! Total DFT energy (no corrections), eV/f.u.: -106.92
! Density, g/cm³: 9.7

---

5.
! Ce3H4O3 (PBE, optimized geometry); values from VASP
&SYSTEM
  ibrav = 0, nat = 20, ntyp = 3
/
ATOMIC_SPECIES
H 1.01 H.upf
Ce 140.12 Ce.upf
O 16.00 O.upf
ATOMIC_POSITIONS angstrom
H -0.754 5.176 2.450
H -3.163 -1.549 3.206
H -3.041 0.911 0.769
H -1.600 0.675 4.432
H -3.533 -0.522 -1.800
H -4.302 -3.381 -1.441
H -0.302 2.071 0.980
H -1.795 -2.828 0.885
Ce -1.910 1.759 2.501
Ce -2.055 -0.868 -0.159
Ce -4.582 3.989 -0.308
Ce -3.574 -3.443 2.091
Ce -5.219 0.615 1.179
Ce -1.149 -1.499 4.175
O -4.253 -1.575 0.659
O -0.945 -0.431 1.981
O -4.109 1.052 3.319
O -2.589 3.627 1.069
O -5.014 1.683 -1.015
O -1.581 -3.805 3.468
CELL_PARAMETERS angstrom
-5.014 -1.106 -4.652
-0.245 -4.919 4.873
-0.904 6.209 2.939
! SG: No. 220
! Total DFT energy (no corrections), eV/f.u.: -63.71
! Density, g/cm³: 6.1

---

6.
! La5Ni2Sn (PBE, optimized geometry); values from VASP
&SYSTEM
  ibrav = 0, nat = 16, ntyp = 3
/
ATOMIC_SPECIES
La 138.91 La.upf
Ni 58.69 Ni.upf
Sn 118.71 Sn.upf
ATOMIC_POSITIONS angstrom
La 0.000 0.000 0.000
La -7.804 -3.819 -1.778
La -3.568 -0.006 0.413
La -0.361 -2.613 5.246
La -7.460 0.468 -1.396
La -4.881 -1.825 -2.392
La -4.253 -2.139 3.437
La -0.017 1.674 5.628
La -3.908 2.148 3.819
La -3.913 -4.293 0.031
Ni -1.999 -2.275 -1.058
Ni -7.763 -1.375 -3.727
Ni -5.225 -4.998 -2.718
Ni -4.536 1.347 -2.067
Sn -1.470 -0.160 3.121
Sn -6.351 -1.985 0.729
CELL_PARAMETERS angstrom
-6.641 3.604 -2.943
-3.120 -7.254 -1.842
1.940 1.505 8.635
! Energy of formation, eV per formula unit: -3.21
! SG: No. 140
! Total DFT energy (no corrections), eV/f.u.: -43.41
! Density, g/cm³: 6.8

---

7.
! TbPaPt2 (PBE, optimized geometry); values from VASP
&SYSTEM
  ibrav = 0, nat = 4, ntyp = 3
/
ATOMIC_SPECIES
Pa 231.04 Pa.upf
Pt 195.08 Pt.upf
Tb 158.93 Tb.upf
ATOMIC_POSITIONS angstrom
Pa -3.266 -9.269 0.045
Pt -1.374 -2.482 0.048
Pt 0.194 -5.824 -0.133
Tb -2.637 -5.200 0.083
CELL_PARAMETERS angstrom
-2.973 -1.513 2.182
-3.259 -1.431 -1.793
0.906 -7.343 -0.216
! Energy of formation, eV per formula unit: -4.07
! SG: No. 160
! Total DFT energy (no corrections), eV/f.u.: -30.28
! Density, g/cm³: 13.4

---

8.
! Tc2HgPt (PBE, optimized geometry); values from VASP
&SYSTEM
  ibrav = 0, nat = 4, ntyp = 3
/
ATOMIC_SPECIES
Hg 200.59 Hg.upf
Tc 98.00 Tc.upf
Pt 195.08 Pt.upf
ATOMIC_POSITIONS angstrom
Hg -4.935 1.880 2.067
Tc -7.841 5.081 -0.276
Tc -2.444 1.028 0.859
Pt -7.337 2.792 3.080
CELL_PARAMETERS angstrom
-3.241 3.610 0.437
-4.564 1.501 -0.803
-2.031 -1.331 4.431
! Energy of formation, eV per formula unit: 1.16
! SG: No. 8
! Total DFT energy (no corrections), eV/f.u.: -25.92
! Density, g/cm³: 15.2

---

9.
! Sr3Al (PBE, optimized geometry); values from VASP
&SYSTEM
  ibrav = 0, nat = 16, ntyp = 2
/
ATOMIC_SPECIES
Sr 87.62 Sr.upf
Al 26.98 Al.upf
ATOMIC_POSITIONS angstrom
Sr -7.219 -6.483 0.861
Sr -0.223 -3.180 0.655
Sr -9.101 -9.488 -1.187
Sr -7.854 -1.602 0.241
Sr 0.425 -7.823 1.679
Sr -5.143 -9.024 -1.588
Sr -9.749 -4.845 -2.211
Sr -1.470 -11.066 -0.772
Sr -5.790 -4.381 -2.612
Sr -4.181 -3.644 1.056
Sr -2.105 -6.184 -1.393
Sr -3.534 -8.287 2.080
Al -1.781 -5.345 2.774
Al -7.543 -7.322 -3.306
Al -6.777 -9.790 1.404
Al -2.547 -2.878 -1.935
CELL_PARAMETERS angstrom
-0.198 -3.635 -6.157
1.376 -7.802 4.562
-10.503 -1.231 1.063
! Energy of formation, eV per formula unit: -0.20
! SG: No. 62
! Total DFT energy (no corrections), eV/f.u.: -8.99
! Density, g/cm³: 2.8

---

10.
! Ac6Sn3N2 (PBE, optimized geometry); values from VASP
&SYSTEM
  ibrav = 0, nat = 11, ntyp = 3
/
ATOMIC_SPECIES
N 14.01 N.upf
Ac 227.00 Ac.upf
Sn 118.71 Sn.upf
ATOMIC_POSITIONS angstrom
N -2.007 -1.203 4.047
N -6.665 5.833 6.102
Ac -3.528 0.128 5.439
Ac -8.563 4.071 6.710
Ac -5.686 5.440 8.544
Ac -2.986 -0.810 1.604
Ac -0.109 0.559 3.438
Ac -5.144 4.502 4.709
Sn -5.719 2.045 7.444
Sn -2.953 2.584 2.704
Sn 0.000 0.000 0.000
CELL_PARAMETERS angstrom
-3.095 -4.138 0.575
2.659 -1.400 4.243
-8.236 10.167 5.331
! Formation energy (no corrections), eV/atom: -0.852
! SG: No. 139
! Total DFT energy (no corrections), eV/f.u.: -62.68
! Density, g/cm³: 7.9

---

11.
! AcPm6Pt4 (PBE, optimized geometry); values from VASP
&SYSTEM
  ibrav = 0, nat = 11, ntyp = 3
/
ATOMIC_SPECIES
Pm 145.00 Pm.upf
Pt 195.08 Pt.upf
Ac 227.00 Ac.upf
ATOMIC_POSITIONS angstrom
Pm 2.002 -1.214 3.071
Pm 2.002 3.302 0.000
Pm -5.191 4.621 3.628
Pm -5.191 1.675 5.631
Pm -0.945 2.046 3.009
Pm 4.168 0.516 0.758
Pt -3.149 3.745 1.561
Pt 1.805 1.586 2.333
Pt -3.149 0.074 4.057
Pt -2.666 3.452 5.076
Ac 0.000 0.000 0.000
CELL_PARAMETERS angstrom
7.726 -0.168 -0.247
-3.721 6.773 0.247
-3.721 -2.260 6.389
! Energy of formation, eV per formula unit: -8.33
! SG: No. 121
! Total DFT energy (no corrections), eV/f.u.: -65.11
! Density, g/cm³: 9.5

---

12.
! BH2Se (PBE, optimized geometry); values from VASP
&SYSTEM
  ibrav = 0, nat = 16, ntyp = 3
/
ATOMIC_SPECIES
H 1.01 H.upf
B 10.81 B.upf
Se 78.96 Se.upf
ATOMIC_POSITIONS angstrom
H -5.621 1.332 -3.348
H -9.510 2.051 -1.638
H -6.633 -0.640 -4.577
H -2.994 1.568 -3.646
H -5.871 4.260 -0.707
H -0.876 0.068 -0.595
H -6.883 2.288 -1.936
H -11.628 3.552 -4.689
B -9.071 0.939 -1.785
B -7.209 0.241 -5.162
B -5.295 3.378 -0.122
B -3.433 2.681 -3.499
Se -8.927 0.732 -3.938
Se -3.577 2.888 -1.346
Se -5.500 2.584 -4.135
Se -7.004 1.036 -1.150
CELL_PARAMETERS angstrom
-2.458 4.278 -0.888
-1.076 -1.806 -5.721
-8.969 1.148 1.325
! SG: No. 14
! Total DFT energy (no corrections), eV/f.u.: -16.71
! Density, g/cm³: 2.6

---

Q: Which of these has the highest density?
A: Tc2HgPt

---

Q: Among the records above, which one has the lowest density?
A: BH2Se

---

Q: Which of these has the highest total DFT energy (no corrections)?
A: Sr3Al